Below is an optimized crystal structure of TaHgSb2I, with properties calculated at the PBE-GGA level.

Cell and atoms, written as CIF:
```
data_TaHgSb2I
_chemical_formula_sum 'Ta1 Hg1 Sb2 I1'
_cell_length_a 5.370
_cell_length_b 5.370
_cell_length_c 5.774
_cell_angle_alpha 90.00
_cell_angle_beta 90.00
_cell_angle_gamma 90.00
_symmetry_space_group_name_H-M 'P 1'
_symmetry_Int_Tables_number 1
loop_
_symmetry_equiv_pos_as_xyz
'x,y,z'
loop_
_atom_site_label
_atom_site_type_symbol
_atom_site_fract_x
_atom_site_fract_y
_atom_site_fract_z
Ta1 Ta 0.000 0.000 0.000
Hg1 Hg 0.500 0.500 0.500
Sb1 Sb 0.000 0.500 0.000
Sb2 Sb 0.500 0.000 0.000
I1 I 0.000 0.000 0.500
```

Computed properties:
Total magnetization: 0.000 μB per atom
Space group: P4/mmm (123)
Calculated total energy: -4.067 eV per atom
Formation energy (no corrections): 0.323 eV per atom
Fermi-level density of states: 0.6717 states/eV/atom
Crystal system: tetragonal
Calculated density: 7.5 Mg/m³
E above lowest polymorph: 0.00 kcal/mol of atoms